[1]
DFT (PBE-GGA) results for an optimized crystal structure of CrGeOs.

a = 8.810 Å, b = 2.901 Å, c = 6.892 Å
α = 90.00°, β = 110.39°, γ = 90.00°
Space group C2/m (No. 12)
Asymmetric unit:
1 Cr 0.140 0.000 0.039 [4 per cell]
2 Ge 0.190 0.000 0.640 [4 per cell]
3 Os 0.012 0.500 0.281 [4 per cell]

Results
Total energy: -8.419 eV per atom

***

[2]
DFT (PBE-GGA) results for an optimized crystal structure of SrTaFe2.

a = 8.589 Å, b = 3.349 Å, c = 6.294 Å
α = 90.00°, β = 105.92°, γ = 90.00°
Space group C2/m (No. 12)
Asymmetric unit:
1 Sr 0.000 0.000 0.000 [2 per cell]
2 Ta 0.000 0.500 0.500 [2 per cell]
3 Fe 0.228 0.000 0.618 [4 per cell]

Results
Energy above the lowest structure with this stoichiometry: 196 meV per atom
Total energy: -7.091 eV per atom

***

[3]
DFT (PBE-GGA) results for an optimized crystal structure of CsPmNbN3.

a = 13.972 Å, b = 4.064 Å, c = 8.782 Å
α = 90.00°, β = 104.47°, γ = 90.00°
Space group C2/m (No. 12)
Asymmetric unit:
1 Cs 0.146 0.000 0.068 [4 per cell]
2 Pm 0.159 0.000 0.577 [4 per cell]
3 Nb 0.007 0.500 0.325 [4 per cell]
4 N 0.013 0.000 0.345 [4 per cell]
5 N 0.138 0.500 0.748 [4 per cell]
6 N 0.162 0.500 0.383 [4 per cell]

Results
Total energy: -7.264 eV per atom

***

[4]
DFT (PBE-GGA) results for an optimized crystal structure of Ca2TlInC.

a = 5.057 Å, b = 5.057 Å, c = 4.842 Å
α = 90.00°, β = 90.00°, γ = 90.00°
Space group P4/mmm (No. 123)
Asymmetric unit:
1 Ca 0.000 0.500 0.000 [2 per cell]
2 Tl 0.000 0.000 0.500 [1 per cell]
3 In 0.500 0.500 0.500 [1 per cell]
4 C 0.000 0.000 0.000 [1 per cell]

Results
Energy above the lowest structure with this stoichiometry: 0 meV per atom
Total energy: -3.492 eV per atom

***

[5]
DFT (PBE-GGA) results for an optimized crystal structure of PmEr2ScAs4.

a = 7.056 Å, b = 4.083 Å, c = 7.065 Å
α = 90.00°, β = 109.47°, γ = 90.00°
Space group P2/m (No. 10)
Asymmetric unit:
1 Pm 0.000 0.000 0.000 [1 per cell]
2 Er 0.000 0.500 0.500 [1 per cell]
3 Er 0.500 0.000 0.500 [1 per cell]
4 Sc 0.500 0.500 0.000 [1 per cell]
5 As 0.261 0.000 0.755 [2 per cell]
6 As 0.261 0.500 0.253 [2 per cell]

Results
Total energy: -6.306 eV per atom

***

[6]
DFT (PBE-GGA) results for an optimized crystal structure of Tl2PtCl.

a = 7.707 Å, b = 7.669 Å, c = 3.196 Å
α = 90.00°, β = 100.39°, γ = 90.00°
Space group C2/m (No. 12)
Asymmetric unit:
1 Tl 0.250 0.250 0.000 [4 per cell]
2 Pt 0.000 0.000 0.500 [2 per cell]
3 Cl 0.000 0.500 0.500 [2 per cell]

Results
Energy above the lowest structure with this stoichiometry: 92 meV per atom
Total energy: -3.390 eV per atom

***

[7]
DFT (PBE-GGA) results for an optimized crystal structure of HoNiBIr2.

a = 4.199 Å, b = 4.199 Å, c = 4.074 Å
α = 90.00°, β = 90.00°, γ = 90.00°
Space group P4/mmm (No. 123)
Asymmetric unit:
1 Ho 0.000 0.000 0.000 [1 per cell]
2 Ni 0.500 0.500 0.000 [1 per cell]
3 B 0.500 0.500 0.500 [1 per cell]
4 Ir 0.000 0.500 0.500 [2 per cell]

Results
Total energy: -7.597 eV per atom

***

[8]
DFT (PBE-GGA) results for an optimized crystal structure of NaPaAgS4.

a = 8.283 Å, b = 8.427 Å, c = 9.847 Å
α = 90.00°, β = 90.00°, γ = 90.00°
Space group Imma (No. 74)
Asymmetric unit:
1 Na 0.250 0.250 0.250 [4 per cell]
2 Pa 0.000 0.000 0.000 [4 per cell]
3 Ag 0.000 0.250 0.716 [4 per cell]
4 S 0.000 0.035 0.260 [8 per cell]
5 S 0.206 0.250 0.963 [8 per cell]

Results
Total energy: -5.250 eV per atom